The following is a DFT calculation (PBEsol) of crystalline WAu2Cl at its relaxed geometry.

Results
total moment: 0.00 Bohr magnetons per cell
V: 132.38 Å³ per cell
raw total energy: -5.54 eV/atom
E above lowest polymorph: 29 kJ/mol of formula units
uncorrected formation energy: 0.38 eV/atom

Cell and atoms, written as CIF:
```
data_WAu2Cl
_chemical_formula_sum 'W2 Au4 Cl2'
_cell_length_a 4.195
_cell_length_b 2.816
_cell_length_c 11.203
_cell_angle_alpha 90.00
_cell_angle_beta 90.00
_cell_angle_gamma 90.00
_symmetry_space_group_name_H-M 'A m m 2'
_symmetry_Int_Tables_number 38
loop_
_symmetry_equiv_pos_as_xyz
'x,y,z'
'-x,-y,z'
'-x,y,z'
'x,-y,z'
'x,y+1/2,z+1/2'
'-x,-y+1/2,z+1/2'
'-x,y+1/2,z+1/2'
'x,-y+1/2,z+1/2'
loop_
_atom_site_label
_atom_site_fract_x
_atom_site_fract_y
_atom_site_fract_z
W1 0.000 0.000 0.000
Au1 0.000 0.000 0.740
Au2 0.500 0.000 0.366
Cl1 0.500 0.000 0.097
```



The following is a DFT calculation (PBEsol) of crystalline W2AuCl at its relaxed geometry.

Results
total moment: 0.00 Bohr magnetons per cell
V: 59.72 Å³ per cell
raw total energy: -7.51 eV/atom
E above lowest polymorph: 227 kJ/mol of formula units
uncorrected formation energy: 0.87 eV/atom

Cell and atoms, written as CIF:
```
data_W2AuCl
_chemical_formula_sum 'W2 Au1 Cl1'
_cell_length_a 2.988
_cell_length_b 2.988
_cell_length_c 6.688
_cell_angle_alpha 90.00
_cell_angle_beta 90.00
_cell_angle_gamma 90.00
_symmetry_space_group_name_H-M 'P 4/m m m'
_symmetry_Int_Tables_number 123
_symmetry_space_group_name_Hall '-P 4 2'
loop_
_atom_site_label
_atom_site_fract_x
_atom_site_fract_y
_atom_site_fract_z
W1 0.000 0.000 0.227
Au1 0.500 0.500 0.500
Cl1 0.500 0.500 0.000
```



The following is a DFT calculation (PBEsol) of crystalline WAu2Cl at its relaxed geometry.

Results
total moment: 0.24 Bohr magnetons per cell
V: 133.65 Å³ per cell
raw total energy: -4.92 eV/atom
E above lowest polymorph: 267 kJ/mol of formula units
uncorrected formation energy: 1.00 eV/atom

Cell and atoms, written as CIF:
```
data_WAu2Cl
_chemical_formula_sum 'W2 Au4 Cl2'
_cell_length_a 3.900
_cell_length_b 3.900
_cell_length_c 8.788
_cell_angle_alpha 90.00
_cell_angle_beta 90.00
_cell_angle_gamma 90.00
_symmetry_space_group_name_H-M 'I 4/m m m'
_symmetry_Int_Tables_number 139
_symmetry_space_group_name_Hall '-I 4 2'
loop_
_atom_site_label
_atom_site_fract_x
_atom_site_fract_y
_atom_site_fract_z
W1 0.000 0.000 0.000
Au1 0.000 0.500 0.250
Cl1 0.000 0.000 0.500
```



The following is a DFT calculation (PBEsol) of crystalline WAu2Cl at its relaxed geometry.

Results
total moment: 0.00 Bohr magnetons per cell
V: 201.45 Å³ per cell
raw total energy: -5.61 eV/atom
E above lowest polymorph: 0 kJ/mol of formula units
uncorrected formation energy: 0.31 eV/atom

Cell and atoms, written as CIF:
```
data_WAu2Cl
_chemical_formula_sum 'W3 Au6 Cl3'
_cell_length_a 2.9819
_cell_length_b 2.9819
_cell_length_c 26.1616
_cell_angle_alpha 90.00
_cell_angle_beta 90.00
_cell_angle_gamma 120.00
_symmetry_space_group_name_H-M 'R -3 m'
_symmetry_Int_Tables_number 166
_symmetry_space_group_name_Hall '-R 3 2"'
loop_
_atom_site_label
_atom_site_fract_x
_atom_site_fract_y
_atom_site_fract_z
W1 0.0000 0.0000 0.0000
Au1 0.0000 0.0000 0.2507
Cl1 0.0000 0.0000 0.5000
```



The following is a DFT calculation (PBEsol) of crystalline W2AuCl at its relaxed geometry.

Results
total moment: 0.00 Bohr magnetons per cell
V: 186.02 Å³ per cell
raw total energy: -7.82 eV/atom
E above lowest polymorph: 107 kJ/mol of formula units
uncorrected formation energy: 0.56 eV/atom

Cell and atoms, written as CIF:
```
data_W2AuCl
_chemical_formula_sum 'W6 Au3 Cl3'
_cell_length_a 2.8588
_cell_length_b 2.8588
_cell_length_c 26.2830
_cell_angle_alpha 90.00
_cell_angle_beta 90.00
_cell_angle_gamma 120.00
_symmetry_space_group_name_H-M 'R -3 m'
_symmetry_Int_Tables_number 166
_symmetry_space_group_name_Hall '-R 3 2"'
loop_
_atom_site_label
_atom_site_fract_x
_atom_site_fract_y
_atom_site_fract_z
W1 0.0000 0.0000 0.2460
Au1 0.0000 0.0000 0.0000
Cl1 0.0000 0.0000 0.5000
```



The following is a DFT calculation (PBEsol) of crystalline W2AuCl at its relaxed geometry.

Results
total moment: 0.00 Bohr magnetons per cell
V: 129.31 Å³ per cell
raw total energy: -7.57 eV/atom
E above lowest polymorph: 205 kJ/mol of formula units
uncorrected formation energy: 0.82 eV/atom

Cell and atoms, written as CIF:
```
data_W2AuCl
_chemical_formula_sum 'W4 Au2 Cl2'
_cell_length_a 2.777
_cell_length_b 5.092
_cell_length_c 9.144
_cell_angle_alpha 90.00
_cell_angle_beta 90.00
_cell_angle_gamma 90.00
_symmetry_space_group_name_H-M 'I m m m'
_symmetry_Int_Tables_number 71
_symmetry_space_group_name_Hall '-I 2 2'
loop_
_atom_site_label
_atom_site_fract_x
_atom_site_fract_y
_atom_site_fract_z
W1 0.000 0.000 0.229
Au1 0.000 0.500 0.000
Cl1 0.000 0.500 0.500
```